No. 1
VASP calculation (PBE-GGA) on a geometry-optimized Nd4MgAu structure.

Output
- E (eV/atom) = -3.821
- magnetization (μB per formula unit) = 0.0
- symmetry = I4_1md (109)
- energy of formation from the pure elements (eV/atom) = 0.1699

a = 8.396 Å, b = 8.396 Å, c = 8.396 Å
α = 112.48°, β = 112.48°, γ = 103.62°
Atoms (fractional coordinates):
Nd 0.146 0.469 0.677
Nd 0.219 0.042 0.823
Nd 0.219 0.396 0.177
Nd 0.315 0.000 0.315
Nd 0.685 0.000 0.685
Nd 0.750 0.565 0.815
Nd 0.750 0.935 0.185
Nd 0.792 0.469 0.323
Mg 0.237 0.737 0.500
Mg 0.487 0.487 0.000
Au 0.732 0.232 0.500
Au 0.982 0.982 0.000

No. 2
VASP calculation (PBE-GGA) on a geometry-optimized SrPr2Os structure.

Output
- E (eV/atom) = -5.533
- magnetization (μB per formula unit) = 0.0
- symmetry = R3m (160)
- energy of formation from the pure elements (eV/atom) = 0.0850

a = 9.758 Å, b = 9.758 Å, c = 9.758 Å
α = 25.43°, β = 25.43°, γ = 25.43°
Atoms (fractional coordinates):
Sr 0.000 0.000 0.000
Pr 0.219 0.219 0.219
Pr 0.451 0.451 0.451
Os 0.835 0.835 0.835

No. 3
VASP calculation (PBE-GGA) on a geometry-optimized SrSnPd2 structure.

Output
- E (eV/atom) = -4.528
- magnetization (μB per formula unit) = 0.0
- symmetry = P4/mmm (123)
- energy of formation from the pure elements (eV/atom) = -0.5107

a = 4.904 Å, b = 4.904 Å, c = 3.572 Å
α = 90.00°, β = 90.00°, γ = 90.00°
Atoms (fractional coordinates):
Sr 0.000 0.000 0.000
Sn 0.500 0.500 0.000
Pd 0.000 0.500 0.500
Pd 0.500 0.000 0.500

No. 4
VASP calculation (PBE-GGA) on a geometry-optimized CrCuPb2 structure.

Output
- E (eV/atom) = -4.686
- magnetization (μB per formula unit) = 4.1
- symmetry = I-42d (122)
- energy of formation from the pure elements (eV/atom) = 0.5977

a = 6.310 Å, b = 6.310 Å, c = 6.310 Å
α = 104.49°, β = 104.49°, γ = 119.98°
Atoms (fractional coordinates):
Cr 0.000 0.000 0.000
Cr 0.750 0.250 0.500
Cu 0.250 0.750 0.500
Cu 0.500 0.500 0.000
Pb 0.152 0.125 0.527
Pb 0.375 0.848 0.973
Pb 0.598 0.625 0.473
Pb 0.875 0.402 0.027

No. 5
VASP calculation (PBE-GGA) on a geometry-optimized Tb3Dy2HoBi6 structure.

Output
- E (eV/atom) = -5.112
- magnetization (μB per formula unit) = 0.0
- symmetry = C2/m (12)
- energy of formation from the pure elements (eV/atom) = -0.8658

a = 10.011 Å, b = 10.011 Å, c = 8.957 Å
α = 102.86°, β = 102.86°, γ = 25.84°
Atoms (fractional coordinates):
Tb 0.000 0.000 0.000
Tb 0.333 0.333 0.667
Tb 0.667 0.667 0.333
Dy 0.333 0.333 0.167
Dy 0.667 0.667 0.833
Ho 0.000 0.000 0.500
Bi 0.166 0.166 0.584
Bi 0.167 0.167 0.082
Bi 0.500 0.500 0.251
Bi 0.500 0.500 0.749
Bi 0.833 0.833 0.918
Bi 0.834 0.834 0.416

No. 6
VASP calculation (PBE-GGA) on a geometry-optimized MgPaPdO6 structure.

Output
- E (eV/atom) = -7.130
- magnetization (μB per formula unit) = 0.6
- raw formation energy (meV per atom) = -2015.7
- symmetry = P312 (149)

a = 5.217 Å, b = 5.217 Å, c = 4.749 Å
α = 90.00°, β = 90.00°, γ = 120.00°
Atoms (fractional coordinates):
Mg 0.000 0.000 0.000
Pa 0.667 0.333 0.500
Pd 0.333 0.667 0.000
O 0.015 0.345 0.234
O 0.015 0.671 0.766
O 0.329 0.345 0.766
O 0.329 0.985 0.234
O 0.655 0.671 0.234
O 0.655 0.985 0.766

No. 7
VASP calculation (PBE-GGA) on a geometry-optimized LaMg2Fe structure.

Output
- E (eV/atom) = -3.897
- magnetization (μB per formula unit) = 0.9
- symmetry = Imm2 (44)
- energy of formation from the pure elements (eV/atom) = 0.2478

a = 6.929 Å, b = 6.929 Å, c = 6.929 Å
α = 153.75°, β = 139.50°, γ = 48.91°
Atoms (fractional coordinates):
La 0.000 0.000 0.000
Mg 0.337 0.337 0.000
Mg 0.690 0.190 0.500
Fe 0.169 0.669 0.500

No. 8
VASP calculation (PBE-GGA) on a geometry-optimized Hf3Mg2 structure.

Output
- E (eV/atom) = -6.493
- magnetization (μB per formula unit) = 0.0
- symmetry = C2/m (12)
- energy of formation from the pure elements (eV/atom) = 0.1173

a = 8.159 Å, b = 8.159 Å, c = 10.460 Å
α = 118.98°, β = 118.98°, γ = 22.18°
Atoms (fractional coordinates):
Hf 0.044 0.044 0.163
Hf 0.268 0.268 0.634
Hf 0.348 0.348 0.963
Hf 0.652 0.652 0.037
Hf 0.732 0.732 0.366
Hf 0.956 0.956 0.837
Mg 0.123 0.123 0.753
Mg 0.426 0.426 0.550
Mg 0.574 0.574 0.450
Mg 0.877 0.877 0.247

No. 9
VASP calculation (PBE-GGA) on a geometry-optimized InTcPb2 structure.

Output
- E (eV/atom) = -4.766
- magnetization (μB per formula unit) = 0.0
- symmetry = P4mm (99)
- energy of formation from the pure elements (eV/atom) = 0.3643

a = 3.331 Å, b = 3.331 Å, c = 8.765 Å
α = 90.00°, β = 90.00°, γ = 90.00°
Atoms (fractional coordinates):
In 0.000 0.000 0.000
Tc 0.500 0.500 0.824
Pb 0.000 0.000 0.622
Pb 0.500 0.500 0.292

No. 10
VASP calculation (PBE-GGA) on a geometry-optimized La8Dy2Ho structure.

Output
- E (eV/atom) = -4.816
- magnetization (μB per formula unit) = 0.0
- symmetry = C2/m (12)
- energy of formation from the pure elements (eV/atom) = 0.0210

a = 9.711 Å, b = 9.711 Å, c = 8.237 Å
α = 104.68°, β = 104.68°, γ = 31.20°
Atoms (fractional coordinates):
La 0.047 0.047 0.228
La 0.137 0.137 0.685
La 0.319 0.319 0.588
La 0.408 0.408 0.047
La 0.592 0.592 0.953
La 0.681 0.681 0.412
La 0.863 0.863 0.315
La 0.953 0.953 0.772
Dy 0.226 0.226 0.134
Dy 0.774 0.774 0.866
Ho 0.500 0.500 0.500

No. 11
VASP calculation (PBE-GGA) on a geometry-optimized MnCo2Cu2 structure.

Output
- E (eV/atom) = -5.772
- magnetization (μB per formula unit) = 2.5
- symmetry = P4/mbm (127)
- energy of formation from the pure elements (eV/atom) = 0.5432

a = 6.758 Å, b = 6.758 Å, c = 2.580 Å
α = 90.00°, β = 90.00°, γ = 90.00°
Atoms (fractional coordinates):
Mn 0.000 0.000 0.000
Mn 0.500 0.500 0.000
Co 0.172 0.328 0.500
Co 0.328 0.828 0.500
Co 0.672 0.172 0.500
Co 0.828 0.672 0.500
Cu 0.127 0.627 0.000
Cu 0.373 0.127 0.000
Cu 0.627 0.873 0.000
Cu 0.873 0.373 0.000

No. 12
VASP calculation (PBE-GGA) on a geometry-optimized Er6ScAl2 structure.

Output
- E (eV/atom) = -4.746
- magnetization (μB per formula unit) = 0.0
- symmetry = C2/m (12)
- energy of formation from the pure elements (eV/atom) = -0.1690

a = 6.415 Å, b = 6.415 Å, c = 11.472 Å
α = 107.06°, β = 107.06°, γ = 32.30°
Atoms (fractional coordinates):
Er 0.026 0.026 0.333
Er 0.310 0.310 0.407
Er 0.322 0.322 0.121
Er 0.678 0.678 0.879
Er 0.690 0.690 0.593
Er 0.974 0.974 0.667
Sc 0.000 0.000 0.000
Al 0.355 0.355 0.811
Al 0.645 0.645 0.189